# Sc2TaTc | the Alexandria database | PBE | optimized geometry
# **ΔH_f (0 K)**: 0.0411 eV/atom
# **M_tot**: 0.00 μB per cell
# **Fermi-level density of states**: 4.8 states/eV per cell
# **V**: 18.57 Å³ per atom
# **Crystal system**: monoclinic
data_Sc2TaTc
_space_group_name_H-M_alt 'P 1'
_space_group_IT_number 1
_space_group_name_Hall 'P 1'
_cell_length_a 2.9780
_cell_length_b 4.6010
_cell_length_c 5.6024
_cell_angle_alpha 90.00
_cell_angle_beta 104.65
_cell_angle_gamma 90.00
loop_
_atom_site_label
_atom_site_type_symbol
_atom_site_fract_x
_atom_site_fract_y
_atom_site_fract_z
_atom_site_occupancy
Sc1 Sc 0.1706 0.0000 0.2616 1
Sc2 Sc 0.8294 0.0000 0.7384 1
Ta1 Ta 0.5000 0.5000 0.0000 1
Tc1 Tc 0.0000 0.5000 0.5000 1